No. 1
A geometry-optimized CdSbH4 structure. Source: the Alexandria database, functional PBE.

For the uncorrected energy, the calculation gives -2.76 eV per atom. As for the total magnetization: 0.0 μB/cell.

The space group is C2/c (No. 15) and the conventional cell measures 6.3713, 14.2150 and 6.1279 Å, with angles of 90.00, 120.59 and 90.00 degrees. The inequivalent atoms are Cd at (0.0000, 0.0266, 0.2500), Sb at (0.0000, 0.2555, 0.7500), H at (0.1060, 0.1680, 0.6295) and H at (0.2487, 0.4659, 0.7831).



No. 2
A geometry-optimized Tb6Sm2Tm3Tl structure. Source: the Alexandria database, functional PBE.

For the uncorrected energy, the calculation gives -4.44 eV per atom. As for the total magnetization: 0.0 μB/cell. Its formation enthalpy at 0 K is -0.02 eV per atom.

The space group is C2/m (No. 12) and the conventional cell measures 6.0875, 10.5540 and 11.6883 Å, with angles of 90.00, 100.04 and 90.00 degrees. The inequivalent atoms are Tb at (0.2447, 0.0000, 0.2473), Tb at (0.2477, 0.1642, 0.7515), Sm at (0.0000, 0.3340, 0.5000), Tm at (0.0000, 0.1668, 0.0000), Tm at (0.0000, 0.5000, 0.0000) and Tl at (0.0000, 0.0000, 0.5000).



No. 3
A geometry-optimized K3RbAu structure. Source: the Alexandria database, functional PBE.

For the uncorrected energy, the calculation gives -1.55 eV per atom. As for the total magnetization: 0.0 μB/cell. Its formation enthalpy at 0 K is -0.04 eV per atom.

The space group is P6_3/mmc (No. 194) and the conventional cell measures 6.6002, 6.6002 and 13.5579 Å, with angles of 90.00, 90.00 and 120.00 degrees. The inequivalent atoms are K at (0.0000, 0.0000, 0.2500), K at (0.3333, 0.6667, 0.0608), Rb at (0.3333, 0.6667, 0.7500) and Au at (0.0000, 0.0000, 0.0000).



No. 4
A geometry-optimized Cs2Rb2H structure. Source: the Alexandria database, functional PBE.

For the uncorrected energy, the calculation gives -1.26 eV per atom. As for the total magnetization: 1.0 μB/cell.

The space group is P4/mbm (No. 127) and the conventional cell measures 8.9560, 8.9560 and 9.3606 Å, with angles of 90.00, 90.00 and 90.00 degrees. The inequivalent atoms are Cs at (0.1855, 0.3145, 0.0000), Rb at (0.2162, 0.7162, 0.5000) and H at (0.0000, 0.0000, 0.5000).



No. 5
A geometry-optimized LaAuSe2N structure. Source: the Alexandria database, functional PBE.

For the uncorrected energy, the calculation gives -4.19 eV per atom. As for the total magnetization: 2.2 μB/cell. The calculation puts the uncorrected formation energy at 0.51 eV per atom.

The space group is P4/mmm (No. 123) and the conventional cell measures 5.9438, 5.9438 and 4.2339 Å, with angles of 90.00, 90.00 and 90.00 degrees. The inequivalent atoms are La at (0.0000, 0.0000, 0.0000), Au at (0.5000, 0.5000, 0.5000), Se at (0.0000, 0.5000, 0.0000) and N at (0.0000, 0.0000, 0.5000).



No. 6
A geometry-optimized MnRuRh structure. Source: the Alexandria database, functional PBE.

For the uncorrected energy, the calculation gives -8.61 eV per atom. As for the total magnetization: 1.1 μB/cell. Its formation enthalpy at 0 K is -0.01 eV per atom.

The space group is Amm2 (No. 38) and the conventional cell measures 4.2580, 2.7086 and 13.9003 Å, with angles of 90.00, 90.00 and 90.00 degrees. The inequivalent atoms are Mn at (0.0000, 0.0000, 0.0000), Mn at (0.5000, 0.0000, 0.2208), Ru at (0.0000, 0.0000, 0.6662), Ru at (0.5000, 0.0000, 0.8859), Rh at (0.0000, 0.0000, 0.3331) and Rh at (0.5000, 0.0000, 0.5526).



No. 7
A geometry-optimized HfFe2Cl structure. Source: the Alexandria database, functional PBE.

For the uncorrected energy, the calculation gives -6.85 eV per atom. As for the total magnetization: 19.8 μB/cell. The calculation puts the uncorrected formation energy at 0.33 eV per atom.

The space group is I-42d (No. 122) and the conventional cell measures 7.1693, 7.1693 and 4.9635 Å, with angles of 90.00, 90.00 and 90.00 degrees. The inequivalent atoms are Hf at (0.0000, 0.0000, 0.0000), Fe at (0.2028, 0.2500, 0.6250) and Cl at (0.0000, 0.0000, 0.5000).



No. 8
A geometry-optimized HfCrB2 structure. Source: the Alexandria database, functional PBE.

For the uncorrected energy, the calculation gives -8.02 eV per atom. As for the total magnetization: 0.0 μB/cell. Its formation enthalpy at 0 K is 0.21 eV per atom.

The space group is Fm-3m (No. 225) and the conventional cell measures 5.5835, 5.5835 and 5.5835 Å, with angles of 90.00, 90.00 and 90.00 degrees. The inequivalent atoms are Hf at (0.0000, 0.0000, 0.0000), Cr at (0.0000, 0.0000, 0.5000) and B at (0.2500, 0.2500, 0.2500).